No. 1
Below is an optimized crystal structure of HoHgPtPb, with properties calculated at the PBE-GGA level.

Total magnetic moment (μB/f.u.): 0.00
ΔH_f (0 K) (meV per atom): -494

a = 5.052 Å, b = 5.052 Å, c = 5.052 Å
α = 60.00°, β = 60.00°, γ = 60.00°
Fractional positions:
Pb: 0.500 0.500 0.500
Hg: 0.250 0.250 0.250
Pt: 0.750 0.750 0.750
Ho: 0.000 0.000 0.000

=====

No. 2
Below is an optimized crystal structure of HoPuHgPb, with properties calculated at the PBE-GGA level.

Total magnetic moment (μB/f.u.): 6.71
ΔH_f (0 K) (meV per atom): -278

a = 5.364 Å, b = 5.364 Å, c = 5.364 Å
α = 60.00°, β = 60.00°, γ = 60.00°
Site moments in Bohr magnetons follow the coordinates.
Fractional positions:
Pb: 0.250 0.250 0.250  -0.04
Ho: 0.000 0.000 0.000  0.42
Hg: 0.750 0.750 0.750  0.07
Pu: 0.500 0.500 0.500  5.61

=====

No. 3
Below is an optimized crystal structure of HoHgRhPb, with properties calculated at the PBE-GGA level.

Total magnetic moment (μB/f.u.): 0.00
ΔH_f (0 K) (meV per atom): -303

a = 5.007 Å, b = 5.007 Å, c = 5.007 Å
α = 60.00°, β = 60.00°, γ = 60.00°
Fractional positions:
Pb: 0.250 0.250 0.250
Rh: 0.500 0.500 0.500
Hg: 0.000 0.000 0.000
Ho: 0.750 0.750 0.750

=====

No. 4
Below is an optimized crystal structure of HoScHgPb, with properties calculated at the PBE-GGA level.

Total magnetic moment (μB/f.u.): 0.00
ΔH_f (0 K) (meV per atom): -391

a = 5.202 Å, b = 5.202 Å, c = 5.202 Å
α = 60.00°, β = 60.00°, γ = 60.00°
Fractional positions:
Pb: 0.750 0.750 0.750
Sc: 0.000 0.000 0.000
Hg: 0.250 0.250 0.250
Ho: 0.500 0.500 0.500

=====

No. 5
Below is an optimized crystal structure of HoSnHgPb, with properties calculated at the PBE-GGA level.

Total magnetic moment (μB/f.u.): 0.00
ΔH_f (0 K) (meV per atom): -351

a = 4.552 Å, b = 4.772 Å, c = 4.770 Å
α = 90.00°, β = 90.00°, γ = 90.00°
Fractional positions:
Ho: 0.500 0.000 0.500
Sn: 0.000 0.000 0.000
Hg: 0.500 0.500 0.000
Pb: 0.000 0.500 0.500

=====

No. 6
Below is an optimized crystal structure of HoSnHgPb, with properties calculated at the PBE-GGA level.

Total magnetic moment (μB/f.u.): 0.00
ΔH_f (0 K) (meV per atom): -224

a = 5.384 Å, b = 5.384 Å, c = 5.384 Å
α = 60.00°, β = 60.00°, γ = 60.00°
Fractional positions:
Pb: 0.500 0.500 0.500
Hg: 0.750 0.750 0.750
Sn: 0.250 0.250 0.250
Ho: 0.000 0.000 0.000

=====

No. 7
Below is an optimized crystal structure of SrHoHgPb, with properties calculated at the PBE-GGA level.

Total magnetic moment (μB/f.u.): 0.00
ΔH_f (0 K) (meV per atom): -441

a = 5.531 Å, b = 5.531 Å, c = 5.531 Å
α = 60.00°, β = 60.00°, γ = 60.00°
Fractional positions:
Pb: 0.500 0.500 0.500
Sr: 0.250 0.250 0.250
Hg: 0.000 0.000 0.000
Ho: 0.750 0.750 0.750

=====

No. 8
Below is an optimized crystal structure of YHoHgPb, with properties calculated at the PBE-GGA level.

Total magnetic moment (μB/f.u.): 0.00
ΔH_f (0 K) (meV per atom): -459

a = 5.336 Å, b = 5.336 Å, c = 5.336 Å
α = 60.00°, β = 60.00°, γ = 60.00°
Fractional positions:
Pb: 0.000 0.000 0.000
Y: 0.750 0.750 0.750
Hg: 0.500 0.500 0.500
Ho: 0.250 0.250 0.250

=====

No. 9
Below is an optimized crystal structure of YHoHgPb, with properties calculated at the PBE-GGA level.

Total magnetic moment (μB/f.u.): 0.00
ΔH_f (0 K) (meV per atom): -467

a = 3.946 Å, b = 5.230 Å, c = 5.214 Å
α = 90.00°, β = 90.00°, γ = 90.00°
Fractional positions:
Y: 0.000 0.000 0.000
Ho: 0.000 0.500 0.500
Hg: 0.500 0.500 0.000
Pb: 0.500 0.000 0.500

=====

No. 10
Below is an optimized crystal structure of HoZrHgPb, with properties calculated at the PBE-GGA level.

Total magnetic moment (μB/f.u.): 0.33
ΔH_f (0 K) (meV per atom): -209

a = 5.186 Å, b = 5.186 Å, c = 5.186 Å
α = 60.00°, β = 60.00°, γ = 60.00°
Site moments in Bohr magnetons follow the coordinates.
Fractional positions:
Pb: 0.250 0.250 0.250  0.01
Hg: 0.750 0.750 0.750  0.00
Zr: 0.500 0.500 0.500  0.17
Ho: 0.000 0.000 0.000  0.04

=====

No. 11
Below is an optimized crystal structure of Ho2HgPd5, with properties calculated at the PBE-GGA level.

Total magnetic moment (μB/f.u.): 0.00
ΔH_f (0 K) (meV per atom): -211

a = 3.878 Å, b = 9.261 Å, c = 11.042 Å
α = 90.00°, β = 90.00°, γ = 102.09°
Fractional positions:
Ho: 0.876 0.752 0.442
Ho: 0.876 0.752 0.058
Ho: 0.124 0.248 0.558
Ho: 0.124 0.248 0.942
Hg: 0.849 0.699 0.750
Hg: 0.151 0.301 0.250
Pd: 0.981 0.961 0.875
Pd: 0.981 0.961 0.625
Pd: 0.268 0.535 0.418
Pd: 0.268 0.535 0.082
Pd: 0.775 0.551 0.250
Pd: 0.225 0.449 0.750
Pd: 0.732 0.465 0.582
Pd: 0.732 0.465 0.918
Pd: 0.019 0.039 0.125
Pd: 0.019 0.039 0.375

=====

No. 12
Below is an optimized crystal structure of Ho4Hg3Pd, with properties calculated at the PBE-GGA level.

Total magnetic moment (μB/f.u.): 0.00
ΔH_f (0 K) (meV per atom): -586

a = 3.633 Å, b = 3.633 Å, c = 14.741 Å
α = 90.00°, β = 90.00°, γ = 90.00°
Fractional positions:
Ho: 0.000 0.000 0.887
Ho: 0.000 0.000 0.113
Ho: 0.000 0.000 0.371
Ho: 0.000 0.000 0.629
Pd: 0.500 0.500 0.000
Hg: 0.500 0.500 0.245
Hg: 0.500 0.500 0.500
Hg: 0.500 0.500 0.755

=====

No. 13
Below is an optimized crystal structure of Ho2Hg2Pd7, with properties calculated at the PBE-GGA level.

Total magnetic moment (μB/f.u.): 0.00
ΔH_f (0 K) (meV per atom): -542

a = 5.320 Å, b = 6.988 Å, c = 6.988 Å
α = 85.49°, β = 115.83°, γ = 115.83°
Fractional positions:
Ho: 0.000 0.194 0.806
Ho: 0.000 0.806 0.194
Hg: 0.096 0.354 0.354
Hg: 0.904 0.646 0.646
Pd: 0.666 0.927 0.415
Pd: 0.334 0.585 0.073
Pd: 0.334 0.073 0.585
Pd: 0.666 0.415 0.927
Pd: 0.500 0.000 0.000
Pd: 0.503 0.734 0.734
Pd: 0.497 0.266 0.266

=====

No. 14
Below is an optimized crystal structure of Ho3HgPd3, with properties calculated at the PBE-GGA level.

Total magnetic moment (μB/f.u.): 0.00
ΔH_f (0 K) (meV per atom): -691

a = 5.026 Å, b = 8.373 Å, c = 8.373 Å
α = 120.00°, β = 90.00°, γ = 90.00°
Fractional positions:
Ho: 0.750 0.668 0.587
Ho: 0.750 0.413 0.081
Ho: 0.750 0.919 0.332
Ho: 0.250 0.332 0.413
Ho: 0.250 0.587 0.919
Ho: 0.250 0.081 0.668
Hg: 0.250 0.667 0.333
Hg: 0.750 0.333 0.667
Pd: 0.250 0.822 0.782
Pd: 0.250 0.218 0.040
Pd: 0.250 0.960 0.178
Pd: 0.750 0.178 0.218
Pd: 0.750 0.782 0.960
Pd: 0.750 0.040 0.822

=====

No. 15
Below is an optimized crystal structure of Ho2HgPd4, with properties calculated at the PBE-GGA level.

Total magnetic moment (μB/f.u.): 0.00
ΔH_f (0 K) (meV per atom): -707

a = 4.067 Å, b = 4.067 Å, c = 9.621 Å
α = 102.20°, β = 102.20°, γ = 90.00°
Fractional positions:
Ho: 0.632 0.632 0.264
Ho: 0.368 0.368 0.736
Hg: 0.000 0.000 0.000
Pd: 0.145 0.145 0.291
Pd: 0.855 0.855 0.709
Pd: 0.750 0.250 0.500
Pd: 0.250 0.750 0.500

=====

No. 16
Below is an optimized crystal structure of Ho5HgPd2, with properties calculated at the PBE-GGA level.

Total magnetic moment (μB/f.u.): 0.00
ΔH_f (0 K) (meV per atom): -596

a = 7.823 Å, b = 7.823 Å, c = 8.616 Å
α = 117.00°, β = 117.00°, γ = 90.00°
Fractional positions:
Ho: 0.517 0.700 0.717
Ho: 0.800 0.983 0.283
Ho: 0.000 0.000 0.000
Ho: 0.500 0.500 0.000
Ho: 0.200 0.017 0.717
Ho: 0.700 0.200 0.717
Ho: 0.017 0.517 0.717
Ho: 0.300 0.800 0.283
Ho: 0.983 0.483 0.283
Ho: 0.483 0.300 0.283
Hg: 0.750 0.750 0.500
Hg: 0.250 0.250 0.500
Pd: 0.134 0.366 0.000
Pd: 0.634 0.134 0.000
Pd: 0.366 0.866 0.000
Pd: 0.866 0.634 0.000

=====

No. 17
Below is an optimized crystal structure of HoHgPd2, with properties calculated at the PBE-GGA level.

Total magnetic moment (μB/f.u.): 0.00
ΔH_f (0 K) (meV per atom): -630

a = 3.880 Å, b = 4.468 Å, c = 4.468 Å
α = 90.00°, β = 90.00°, γ = 90.00°
Fractional positions:
Hg: 0.500 0.000 0.000
Pd: 0.000 0.000 0.500
Pd: 0.000 0.500 0.000
Ho: 0.500 0.500 0.500

=====

No. 18
Below is an optimized crystal structure of HoHgPd, with properties calculated at the PBE-GGA level.

Total magnetic moment (μB/f.u.): 0.00
ΔH_f (0 K) (meV per atom): -693

a = 3.686 Å, b = 7.843 Å, c = 13.519 Å
α = 90.00°, β = 90.00°, γ = 90.00°
Fractional positions:
Ho: 0.000 0.232 0.949
Ho: 0.000 0.768 0.051
Ho: 0.000 0.232 0.551
Ho: 0.000 0.768 0.449
Ho: 0.000 0.181 0.250
Ho: 0.000 0.819 0.750
Hg: 0.500 0.431 0.106
Hg: 0.500 0.569 0.894
Hg: 0.500 0.431 0.394
Hg: 0.500 0.569 0.606
Hg: 0.500 0.828 0.250
Hg: 0.500 0.172 0.750
Pd: 0.500 0.066 0.094
Pd: 0.500 0.934 0.906
Pd: 0.500 0.066 0.406
Pd: 0.500 0.934 0.594
Pd: 0.000 0.556 0.250
Pd: 0.000 0.444 0.750

=====

No. 19
Below is an optimized crystal structure of HoHg2Pd, with properties calculated at the PBE-GGA level.

Total magnetic moment (μB/f.u.): 0.00
ΔH_f (0 K) (meV per atom): -401

a = 4.717 Å, b = 4.302 Å, c = 4.302 Å
α = 90.00°, β = 90.00°, γ = 90.00°
Fractional positions:
Hg: 0.000 0.000 0.500
Hg: 0.000 0.500 0.000
Pd: 0.500 0.000 0.000
Ho: 0.500 0.500 0.500

=====

No. 20
Below is an optimized crystal structure of HoHgPd, with properties calculated at the PBE-GGA level.

Total magnetic moment (μB/f.u.): 0.00
ΔH_f (0 K) (meV per atom): -586

a = 4.693 Å, b = 4.693 Å, c = 4.693 Å
α = 60.00°, β = 60.00°, γ = 60.00°
Fractional positions:
Hg: 0.500 0.500 0.500
Pd: 0.250 0.250 0.250
Ho: 0.000 0.000 0.000

=====

No. 21
Below is an optimized crystal structure of Ho2HgPd8, with properties calculated at the PBE-GGA level.

Total magnetic moment (μB/f.u.): 0.00
ΔH_f (0 K) (meV per atom): -554

a = 4.226 Å, b = 6.577 Å, c = 7.629 Å
α = 106.65°, β = 106.08°, γ = 90.00°
Fractional positions:
Ho: 0.784 0.334 0.568
Ho: 0.216 0.666 0.432
Hg: 0.500 0.000 0.000
Pd: 0.408 0.551 0.816
Pd: 0.673 0.903 0.346
Pd: 0.856 0.813 0.711
Pd: 0.963 0.278 0.927
Pd: 0.144 0.187 0.289
Pd: 0.327 0.097 0.654
Pd: 0.592 0.449 0.184
Pd: 0.037 0.722 0.073

=====

No. 22
Below is an optimized crystal structure of Ho8Hg2Pd, with properties calculated at the PBE-GGA level.

Total magnetic moment (μB/f.u.): 0.00
ΔH_f (0 K) (meV per atom): -311

a = 5.152 Å, b = 6.808 Å, c = 9.237 Å
α = 102.47°, β = 106.20°, γ = 90.00°
Fractional positions:
Ho: 0.411 0.555 0.822
Ho: 0.655 0.966 0.311
Ho: 0.798 0.685 0.596
Ho: 0.976 0.228 0.953
Ho: 0.202 0.315 0.404
Ho: 0.345 0.034 0.689
Ho: 0.589 0.445 0.178
Ho: 0.024 0.772 0.047
Hg: 0.809 0.262 0.619
Hg: 0.191 0.738 0.381
Pd: 0.500 0.000 0.000

=====

No. 23
Below is an optimized crystal structure of Ho2Hg2Pd5, with properties calculated at the PBE-GGA level.

Total magnetic moment (μB/f.u.): 0.00
ΔH_f (0 K) (meV per atom): -513

a = 5.261 Å, b = 9.323 Å, c = 8.923 Å
α = 121.49°, β = 107.15°, γ = 90.00°
Fractional positions:
Ho: 0.098 0.691 0.252
Ho: 0.902 0.439 0.748
Ho: 0.655 0.191 0.252
Ho: 0.345 0.939 0.748
Hg: 0.000 0.064 0.000
Hg: 0.500 0.564 0.000
Hg: 0.284 0.316 0.500
Hg: 0.716 0.816 0.500
Pd: 0.206 0.770 0.911
Pd: 0.794 0.859 0.089
Pd: 0.205 0.270 0.911
Pd: 0.795 0.359 0.089
Pd: 0.401 0.968 0.304
Pd: 0.599 0.663 0.696
Pd: 0.404 0.468 0.304
Pd: 0.596 0.163 0.696
Pd: 0.001 0.566 0.500
Pd: 0.999 0.066 0.500

=====

No. 24
Below is an optimized crystal structure of Ho4HgPd3, with properties calculated at the PBE-GGA level.

Total magnetic moment (μB/f.u.): 0.00
ΔH_f (0 K) (meV per atom): -785

a = 5.024 Å, b = 5.024 Å, c = 8.663 Å
α = 73.14°, β = 73.14°, γ = 60.00°
Fractional positions:
Ho: 0.871 0.871 0.387
Ho: 0.380 0.380 0.861
Ho: 0.129 0.129 0.613
Ho: 0.620 0.620 0.139
Pd: 0.253 0.253 0.242
Pd: 0.747 0.747 0.758
Pd: 0.500 0.500 0.500
Hg: 0.000 0.000 0.000

=====

No. 25
Below is an optimized crystal structure of HoHg2Pd, with properties calculated at the PBE-GGA level.

Total magnetic moment (μB/f.u.): 0.00
ΔH_f (0 K) (meV per atom): 94

a = 3.304 Å, b = 3.304 Å, c = 10.498 Å
α = 80.95°, β = 80.95°, γ = 60.00°
Fractional positions:
Hg: 0.098 0.098 0.705
Hg: 0.902 0.902 0.295
Pd: 0.500 0.500 0.500
Ho: 0.000 0.000 0.000